[1]
## La2Y3Pt4 (PBE-GGA)

Data for a relaxed structure of La2Y3Pt4.

Unit cell a=7.9794 b=7.6750 c=7.7108 alpha=90.00 beta=90.00 gamma=108.91
With the nearest neighbours (Å) after each atom.
Fractional coordinates of all 18 atoms:
Pt1 0.8672 0.0933 0.5376  4 Y 2.87-3.05, 1 Pt 2.97, 1 La 3.09
Pt2 0.6328 0.9067 0.0376  4 Y 2.87-3.05, 1 Pt 2.97, 1 La 3.09
Pt3 0.3729 0.4976 0.3660  1 Pt 2.89, 5 Y 2.91-3.16, 1 La 3.03
Pt4 0.3672 0.0933 0.9624  4 Y 2.87-3.05, 1 Pt 2.97, 1 La 3.09
Pt5 0.8729 0.4976 0.1340  1 Pt 2.89, 5 Y 2.91-3.16, 1 La 3.03
Pt6 0.6271 0.5024 0.6340  1 Pt 2.89, 5 Y 2.91-3.16, 1 La 3.03
Pt7 0.1271 0.5024 0.8660  1 Pt 2.89, 5 Y 2.91-3.16, 1 La 3.03
Pt8 0.1328 0.9067 0.4624  4 Y 2.87-3.05, 1 Pt 2.97, 1 La 3.09
Y1 0.2491 0.2456 0.6643  6 Pt 2.87-3.05
Y2 0.5000 0.5000 0.0000  6 Pt 2.97-3.16
Y3 0.7509 0.7544 0.3357  6 Pt 2.87-3.05
Y4 0.7491 0.2456 0.8357  6 Pt 2.87-3.05
Y5 0.2509 0.7544 0.1643  6 Pt 2.87-3.05
Y6 0.0000 0.5000 0.5000  6 Pt 2.97-3.16
La1 0.5874 0.1988 0.3228  6 Pt 3.03-3.29
La2 0.0874 0.1988 0.1772  6 Pt 3.03-3.29
La3 0.9126 0.8012 0.8228  6 Pt 3.03-3.29
La4 0.4126 0.8012 0.6772  6 Pt 3.03-3.29

Values from the calculation:
DFT total energy: -7.080 eV/atom
density of states at the Fermi level: 12.23 states/eV/cell
calculated volume: 24.8 Å³ per atom

---

[2]
## PaTl2IrO6 (PBE-GGA)

Data for a relaxed structure of PaTl2IrO6.

Unit cell a=6.1273 b=6.1273 c=10.5912 alpha=73.19 beta=73.19 gamma=60.00
With the nearest neighbours (Å) after each atom.
Fractional coordinates of all 20 atoms:
O1 0.8075 0.8075 0.1099  1 Ir 1.99, 1 Pa 2.15
O2 0.1925 0.1925 0.8901  1 Ir 1.99, 1 Pa 2.15
O3 0.6075 0.1616 0.6235  1 Ir 2.00
O4 0.3925 0.8384 0.3765  1 Ir 2.00
O5 0.1616 0.6075 0.6235  1 Ir 2.00
O6 0.2752 0.8075 0.1099  1 Ir 1.99, 1 Pa 2.15
O7 0.6075 0.6075 0.6235  1 Ir 2.00
O8 0.1925 0.7248 0.8901  1 Ir 1.99, 1 Pa 2.15
O9 0.8384 0.3925 0.3765  1 Ir 2.00
O10 0.3925 0.3925 0.3765  1 Ir 2.00
O11 0.7248 0.1925 0.8901  1 Ir 1.99, 1 Pa 2.15
O12 0.8075 0.2752 0.1099  1 Ir 1.99, 1 Pa 2.15
Tl1 0.8591 0.8591 0.4228  9 O 2.80-3.10
Tl2 0.7211 0.7211 0.8366  9 O 2.89-3.11
Tl3 0.2789 0.2789 0.1634  9 O 2.89-3.11
Tl4 0.1409 0.1409 0.5772  9 O 2.80-3.10
Pa1 0.5954 0.5954 0.2137  6 O 2.15-2.26
Pa2 0.4046 0.4046 0.7863  6 O 2.15-2.26
Ir1 0.0000 0.0000 0.0000  6 O 1.99
Ir2 0.5000 0.5000 0.5000  6 O 2.00

Values from the calculation:
E_form (uncorrected): -1625 meV per atom
density of states at the Fermi level: 9.08 states/eV/cell
calculated volume: 16.2 Å³ per atom

---

[3]
## Y2TcW (PBE-GGA)

Data for a relaxed structure of Y2TcW.

Unit cell a=5.9768 b=5.9768 c=5.9768 alpha=146.78 beta=129.87 gamma=61.47
With the nearest neighbours (Å) after each atom.
Fractional coordinates of all 4 atoms:
W1 0.2933 0.7933 0.5000  2 Tc 2.48
Y1 0.0099 0.0099 0.0000  4 Tc 3.08, 6 Y 3.36-3.42, 4 W 3.37-3.38
Y2 0.7289 0.2289 0.5000  4 W 3.13, 2 Tc 3.18, 6 Y 3.36-3.42
Tc1 0.4679 0.4679 0.0000  2 W 2.48

Values from the calculation:
density of states at the Fermi level: 2.70 states/eV/cell
calculated volume: 22.2 Å³ per atom
energy relative to the lowest polymorph listed for this composition: 77 meV/atom

---

[4]
## DySi2Pt4Rh (PBE-GGA)

Data for a relaxed structure of DySi2Pt4Rh.

Unit cell a=3.9216 b=3.9216 c=9.3273 alpha=90.00 beta=90.00 gamma=90.00
With the nearest neighbours (Å) after each atom.
Fractional coordinates of all 8 atoms:
Pt1 0.5000 0.0000 0.2373  2 Si 2.36
Pt2 0.0000 0.5000 0.7627  2 Si 2.36
Pt3 0.5000 0.0000 0.7627  2 Si 2.36
Pt4 0.0000 0.5000 0.2373  2 Si 2.36
Rh1 0.0000 0.0000 0.5000  8 Si 2.99, 8 Pt 3.14
Si1 0.5000 0.5000 0.3787  1 Si 2.26, 4 Pt 2.36
Si2 0.5000 0.5000 0.6213  1 Si 2.26, 4 Pt 2.36
Dy1 0.0000 0.0000 0.0000  8 Pt 2.96

Values from the calculation:
E_form (uncorrected): -633 meV per atom
density of states at the Fermi level: 2.01 states/eV/cell
calculated volume: 17.9 Å³ per atom

---

[5]
## YTm5In (PBE-GGA)

Data for a relaxed structure of YTm5In.

Unit cell a=6.1160 b=7.8896 c=7.5660 alpha=121.43 beta=113.84 gamma=90.00
With the nearest neighbours (Å) after each atom.
Fractional coordinates of all 7 atoms:
Tm1 0.3277 0.1854 0.0000  1 In 2.87, 2 Tm 2.93-3.06
Tm2 0.3277 0.8146 0.0000  1 In 2.87, 2 Tm 2.93-3.06
Tm3 0.4767 0.2521 0.5043  1 In 2.99, 2 Tm 3.28
Tm4 0.9725 0.7479 0.4957  1 In 2.99, 2 Tm 3.28
Tm5 0.0359 0.5000 0.0000  2 In 2.90-3.22, 2 Tm 3.06
In1 0.5617 0.5000 0.0000  5 Tm 2.87-2.99
Y1 0.8284 0.0000 0.0000  6 Tm 3.39-3.75

Values from the calculation:
DFT total energy: -3.775 eV/atom
density of states at the Fermi level: 8.34 states/eV/cell
calculated volume: 39.2 Å³ per atom

---

[6]
## NbNi3Pd2 (PBE-GGA)

Data for a relaxed structure of NbNi3Pd2.

Unit cell a=3.8527 b=7.3769 c=7.0649 alpha=121.47 beta=105.82 gamma=90.00
With the nearest neighbours (Å) after each atom.
Fractional coordinates of all 12 atoms:
Ni1 0.5000 0.2500 0.0000  4 Pd 2.62, 4 Nb 2.67, 4 Ni 2.68
Ni2 0.5000 0.7500 0.0000  4 Pd 2.62, 4 Nb 2.67, 4 Ni 2.68
Ni3 0.8367 0.0867 0.6734  2 Nb 2.62, 6 Pd 2.67-2.70, 4 Ni 2.68-2.76
Ni4 0.8367 0.5867 0.6734  2 Nb 2.62, 6 Pd 2.67-2.70, 4 Ni 2.68-2.76
Ni5 0.1633 0.9133 0.3266  2 Nb 2.62, 6 Pd 2.67-2.70, 4 Ni 2.68-2.76
Ni6 0.1633 0.4133 0.3266  2 Nb 2.62, 6 Pd 2.67-2.70, 4 Ni 2.68-2.76
Pd1 0.3365 0.8366 0.6731  8 Ni 2.62-2.70, 2 Nb 2.68, 2 Pd 2.76
Pd2 0.6635 0.1635 0.3269  8 Ni 2.62-2.70, 2 Nb 2.68, 2 Pd 2.76
Pd3 0.3366 0.3366 0.6731  8 Ni 2.62-2.70, 2 Nb 2.68, 2 Pd 2.76
Pd4 0.6634 0.6634 0.3269  8 Ni 2.62-2.70, 2 Nb 2.68, 2 Pd 2.76
Nb1 0.0000 0.0000 0.0000  8 Ni 2.62-2.67, 4 Pd 2.68
Nb2 0.0000 0.5000 0.0000  8 Ni 2.62-2.67, 4 Pd 2.68

Values from the calculation:
density of states at the Fermi level: 8.73 states/eV/cell
calculated volume: 13.5 Å³ per atom
energy relative to the lowest polymorph listed for this composition: 0 meV/atom

---

[7]
## La6Ho2Er (PBE-GGA)

Data for a relaxed structure of La6Ho2Er.

Unit cell a=3.6529 b=3.6529 c=27.5491 alpha=90.00 beta=90.00 gamma=120.00
With the nearest neighbours (Å) after each atom.
Fractional coordinates of all 9 atoms:
La1 0.3333 0.6667 0.4335  3 Ho 3.56, 7 La 3.65-3.67
La2 0.6667 0.3333 0.1053  3 Er 3.59, 9 La 3.65-3.87
La3 0.6667 0.3333 0.8947  3 Er 3.59, 9 La 3.65-3.87
La4 0.3333 0.6667 0.7770  3 Ho 3.61, 9 La 3.65-3.87
La5 0.3333 0.6667 0.5665  3 Ho 3.56, 7 La 3.65-3.67
La6 0.3333 0.6667 0.2230  3 Ho 3.61, 9 La 3.65-3.87
Er1 0.3333 0.6667 0.0000  6 La 3.59, 6 Er 3.65
Ho1 0.6667 0.3333 0.6707  6 La 3.56-3.61, 6 Ho 3.65
Ho2 0.6667 0.3333 0.3293  6 La 3.56-3.61, 6 Ho 3.65

Values from the calculation:
density of states at the Fermi level: 16.38 states/eV/cell
calculated volume: 35.4 Å³ per atom
energy relative to the lowest polymorph listed for this composition: 0 meV/atom

---

[8]
## Ce2Zn5Ni (PBE-GGA)

Data for a relaxed structure of Ce2Zn5Ni.

Unit cell a=4.2594 b=8.2687 c=8.9594 alpha=90.00 beta=90.00 gamma=104.93
With the nearest neighbours (Å) after each atom.
Fractional coordinates of all 16 atoms:
Zn1 0.8095 0.6191 0.1093  4 Zn 2.52-2.70
Zn2 0.1905 0.3809 0.8907  4 Zn 2.52-2.70
Zn3 0.6483 0.2966 0.4797  1 Ni 2.49, 4 Zn 2.52-2.70
Zn4 0.1905 0.3809 0.6093  4 Zn 2.52-2.70
Zn5 0.3517 0.7034 0.5203  1 Ni 2.49, 4 Zn 2.52-2.70
Zn6 0.8095 0.6191 0.3907  4 Zn 2.52-2.70
Zn7 0.4056 0.8113 0.2500  1 Ni 2.47, 2 Zn 2.57
Zn8 0.6483 0.2966 0.0203  1 Ni 2.49, 4 Zn 2.52-2.70
Zn9 0.3517 0.7034 0.9797  1 Ni 2.49, 4 Zn 2.52-2.70
Zn10 0.5944 0.1887 0.7500  1 Ni 2.47, 2 Zn 2.57
Ce1 0.0000 0.0000 0.5000  10 Zn 3.19-3.44, 4 Ni 3.24
Ce2 0.8103 0.6206 0.7500  2 Ni 2.97, 10 Zn 3.03-3.22
Ce3 0.1897 0.3794 0.2500  2 Ni 2.97, 10 Zn 3.03-3.22
Ce4 0.0000 0.0000 0.0000  10 Zn 3.19-3.44, 4 Ni 3.24
Ni1 0.4398 0.8797 0.7500  3 Zn 2.47-2.49
Ni2 0.5602 0.1203 0.2500  3 Zn 2.47-2.49

Values from the calculation:
DFT total energy: -3.265 eV/atom
density of states at the Fermi level: 23.59 states/eV/cell
calculated volume: 19.1 Å³ per atom

---

Q: Look up the density of states at the Fermi level of the fourth one.
A: 2.01 states/eV/cell

---

Q: Look up the density of states at the Fermi level of the seventh one.
A: 16.38 states/eV/cell

---

Q: Which of these has the highest density of states at the Fermi level?
A: Ce2Zn5Ni